The following is a DFT calculation (PBE) of LaNdBr4 after structural relaxation.

magnetic moment = 0.00 μB per formula unit
space group = No. 119
D(E_F) = 3.01 states/eV/cell
calculated volume = 34.16 Å³/atom
raw formation energy = -1.66 eV per atom
uncorrected energy = -4.3953 eV/atom
relative energy among the computed polymorphs = 35.6 meV per atom

Unit cell a=5.930 b=5.930 c=7.180 alpha=114.39 beta=114.39 gamma=90.00
Atoms (fractional coordinates):
La (0.500, 0.500, 0.000)
Nd (0.250, 0.750, 0.500)
Br (0.991, 0.491, 0.982)
Br (0.763, 0.763, 0.527)
Br (0.509, 0.009, 0.018)
Br (0.237, 0.237, 0.473)